Record 1
A relaxed PmCu2PN crystal. Source: the Alexandria database, functional PBE.

## Properties
**E_form (uncorrected)**: -629 meV/atom
**Theoretical density**: 7.4 g cm⁻³

abc: 6.0125 6.0125 6.8907
angles: 90.00 90.00 144.97
Element x y z (fractional)
Pm 0.0391 0.9609 0.7500
Pm 0.9609 0.0391 0.2500
Cu 0.3292 0.6708 0.5591
Cu 0.3292 0.6708 0.9409
Cu 0.6708 0.3292 0.0591
Cu 0.6708 0.3292 0.4409
P 0.2365 0.7635 0.2500
P 0.7635 0.2365 0.7500
N 0.5000 0.5000 0.0000
N 0.5000 0.5000 0.5000

Record 2
A relaxed PrCu2PN crystal. Source: the Alexandria database, functional PBE.

## Properties
**E_form (uncorrected)**: -600 meV/atom
**Theoretical density**: 7.1 g cm⁻³

abc: 6.0230 6.0230 6.9380
angles: 90.00 90.00 144.43
Element x y z (fractional)
Pr 0.0418 0.9582 0.7500
Pr 0.9582 0.0418 0.2500
Cu 0.3287 0.6713 0.5601
Cu 0.3287 0.6713 0.9399
Cu 0.6713 0.3287 0.0601
Cu 0.6713 0.3287 0.4399
P 0.2346 0.7654 0.2500
P 0.7654 0.2346 0.7500
N 0.5000 0.5000 0.0000
N 0.5000 0.5000 0.5000

Record 3
A relaxed Cu2RePN crystal. Source: the Alexandria database, functional PBE.

## Properties
**E_form (uncorrected)**: 888 meV/atom
**Theoretical density**: 9.6 g cm⁻³

abc: 3.6975 3.6975 4.5260
angles: 90.00 90.00 90.00
Element x y z (fractional)
Cu 0.0000 0.5000 0.0000
Cu 0.5000 0.0000 0.0000
Re 0.0000 0.0000 0.5000
P 0.5000 0.5000 0.5000
N 0.5000 0.5000 0.0000

Record 4
A relaxed CuP2RuN crystal. Source: the Alexandria database, functional PBE.

## Properties
**E_form (uncorrected)**: 832 meV/atom
**Theoretical density**: 5.9 g cm⁻³

abc: 4.1912 4.1912 3.8370
angles: 90.00 90.00 90.00
Element x y z (fractional)
Cu 0.0000 0.0000 0.0000
P 0.0000 0.5000 0.5000
P 0.5000 0.0000 0.5000
Ru 0.5000 0.5000 0.0000
N 0.5000 0.5000 0.5000

Record 5
A relaxed CuP2SN crystal. Source: the Alexandria database, functional PBE.

## Properties
**E_form (uncorrected)**: 1089 meV/atom
**Excess energy over the best structure of this formula in the dataset**: 0.00 eV per formula unit
**Theoretical density**: 4.2 g cm⁻³

abc: 3.9903 3.9903 4.2491
angles: 90.00 90.00 90.00
Element x y z (fractional)
Cu 0.0000 0.0000 0.0000
P 0.0000 0.5000 0.5000
P 0.5000 0.0000 0.5000
S 0.5000 0.5000 0.0000
N 0.5000 0.5000 0.5000

Record 6
A relaxed CuP2SN crystal. Source: the Alexandria database, functional PBE.

## Properties
**E_form (uncorrected)**: 1836 meV/atom
**Excess energy over the best structure of this formula in the dataset**: 3.74 eV per formula unit
**Theoretical density**: 3.1 g cm⁻³

abc: 4.5148 4.5148 4.5246
angles: 90.00 90.00 90.00
Element x y z (fractional)
Cu 0.0000 0.0000 0.0000
P 0.0000 0.5000 0.0000
P 0.5000 0.0000 0.0000
S 0.0000 0.0000 0.5000
N 0.5000 0.5000 0.5000

Record 7
A relaxed ScCu2PN crystal. Source: the Alexandria database, functional PBE.

## Properties
**E_form (uncorrected)**: 1160 meV/atom
**Theoretical density**: 3.9 g cm⁻³

abc: 4.9530 4.9530 3.7642
angles: 90.00 90.00 90.00
Element x y z (fractional)
Sc 0.0000 0.0000 0.0000
Cu 0.0000 0.5000 0.0000
Cu 0.5000 0.0000 0.0000
P 0.5000 0.5000 0.5000
N 0.0000 0.0000 0.5000

Record 8
A relaxed CuPSeN2 crystal. Source: the Alexandria database, functional PBE.

## Properties
**E_form (uncorrected)**: 718 meV/atom
**Excess energy over the best structure of this formula in the dataset**: 0.00 eV per formula unit
**Theoretical density**: 4.8 g cm⁻³

abc: 3.3407 3.3407 6.3107
angles: 90.00 90.00 90.00
Element x y z (fractional)
Cu 0.0000 0.0000 0.0000
P 0.5000 0.5000 0.5000
Se 0.5000 0.5000 0.0000
N 0.0000 0.5000 0.5000
N 0.5000 0.0000 0.5000

Total energy
In order: -5.97, -5.94, -5.99, -5.67, -4.38, -3.64, -4.49, -5.21
Unit: eV per atom
Volume
In order: 14.3, 14.6, 12.4, 13.5, 13.5, 18.4, 18.5, 14.1
Unit: A^3/atom
Fermi-level density of states
In order: 1.52, 1.65, 4.10, 4.89, 3.25, 3.19, 4.31, 3.18
Unit: states/eV/f.u.